Entry from Alexandria via LeMat-Bulk: a geometry-optimized MnBeFeF2 structure (PBE with a Hubbard U).

Output
**V**: 15.4 Å³ per atom
**Final energy**: -4.85 eV per atom

abc: 3.4634 3.4634 6.4206
angles: 90.00 90.00 90.00
Space group P4/mmm (No. 123)
Unique sites:
Mn1 0.0000 0.0000 0.0000 [1 per cell]
Be1 0.5000 0.5000 0.5000 [1 per cell]
Fe1 0.5000 0.5000 0.0000 [1 per cell]
F1 0.0000 0.5000 0.5000 [2 per cell]